No. 1
Below is crystalline MoAs2Cl at its relaxed geometry, with properties calculated at the PBE level.

## Properties
- Raw total energy: -5.1772 eV/atom
- Energy relative to the lowest polymorph listed for this composition: 458 meV per atom
- Spin magnetization: 1.44 μB/cell
- Formation energy without anion corrections: 30.6 kJ per mole of atoms

a = 3.134 Å, b = 5.249 Å, c = 9.599 Å
α = 90.00°, β = 90.00°, γ = 90.00°
Space group Cmm2 (No. 35)
Asymmetric unit:
Mo  0.000  0.000  0.000 (multiplicity 2)
As  0.000  0.000  0.541 (multiplicity 2)
As  0.000  0.500  0.787 (multiplicity 2)
Cl  0.000  0.500  0.199 (multiplicity 2)



No. 2
Below is crystalline Pm5AgHg6 at its relaxed geometry, with properties calculated at the PBE level.

## Properties
- Energy of formation from the pure elements: -0.41 eV per atom
- Raw total energy: -2.7734 eV/atom
- Spin magnetization: 0.00 μB/cell

a = 9.145 Å, b = 16.150 Å, c = 5.269 Å
α = 90.00°, β = 125.08°, γ = 90.00°
Space group C2/m (No. 12)
Asymmetric unit:
Pm  0.000  0.000  0.000 (multiplicity 2)
Pm  0.000  0.173  0.500 (multiplicity 4)
Pm  0.000  0.344  0.000 (multiplicity 4)
Ag  0.000  0.500  0.500 (multiplicity 2)
Hg  0.246  0.339  0.746 (multiplicity 8)
Hg  0.247  0.000  0.747 (multiplicity 4)



No. 3
Below is crystalline Li2Ag2Sn at its relaxed geometry, with properties calculated at the PBE level.

## Properties
- Energy of formation from the pure elements: -0.28 eV per atom
- Raw total energy: -2.9887 eV/atom
- Energy relative to the lowest polymorph listed for this composition: 0 meV per atom
- Spin magnetization: 0.00 μB/cell

a = 8.124 Å, b = 4.642 Å, c = 5.544 Å
α = 90.00°, β = 120.13°, γ = 90.00°
Space group C2/m (No. 12)
Asymmetric unit:
Li  0.205  0.000  0.115 (multiplicity 4)
Ag  0.097  0.500  0.293 (multiplicity 4)
Sn  0.000  0.000  0.500 (multiplicity 2)



No. 4
Below is crystalline AgHg2Rh at its relaxed geometry, with properties calculated at the PBE level.

## Properties
- Energy of formation from the pure elements: 0.18 eV per atom
- Raw total energy: -2.5249 eV/atom
- Spin magnetization: 0.00 μB/cell

a = 9.064 Å, b = 3.161 Å, c = 5.437 Å
α = 90.00°, β = 101.53°, γ = 90.00°
Space group C2/m (No. 12)
Asymmetric unit:
Ag  0.000  0.000  0.000 (multiplicity 2)
Hg  0.245  0.000  0.739 (multiplicity 4)
Rh  0.000  0.500  0.500 (multiplicity 2)



No. 5
Below is crystalline BaSi2Sb at its relaxed geometry, with properties calculated at the PBE level.

## Properties
- Raw total energy: -3.9905 eV/atom
- Spin magnetization: 0.00 μB/cell
- Formation energy without anion corrections: 22.4 kJ per mole of atoms

a = 4.684 Å, b = 4.684 Å, c = 9.563 Å
α = 90.00°, β = 90.00°, γ = 90.00°
Space group I-4m2 (No. 119)
Asymmetric unit:
Ba  0.000  0.000  0.000 (multiplicity 2)
Si  0.000  0.000  0.500 (multiplicity 2)
Si  0.000  0.500  0.250 (multiplicity 2)
Sb  0.000  0.500  0.750 (multiplicity 2)



No. 6
Below is crystalline Sr2LaTcSe at its relaxed geometry, with properties calculated at the PBE level.

## Properties
- Raw total energy: -3.8573 eV/atom
- Spin magnetization: 0.00 μB/cell
- Formation energy without anion corrections: 55.1 kJ per mole of atoms

a = 6.366 Å, b = 6.366 Å, c = 4.605 Å
α = 90.00°, β = 90.00°, γ = 90.00°
Space group P4/mmm (No. 123)
Asymmetric unit:
Sr  0.000  0.500  0.000 (multiplicity 2)
La  0.000  0.000  0.000 (multiplicity 1)
Tc  0.000  0.000  0.500 (multiplicity 1)
Se  0.500  0.500  0.500 (multiplicity 1)



> Which value of raw total energy does entry 5 give?

-3.9905 eV/atom



> spin magnetization of number 4 (AgHg2Rh)?

0.00 μB/cell



Please write out number 6 again, unchanged.
Below is crystalline Sr2LaTcSe at its relaxed geometry, with properties calculated at the PBE level.

## Properties
- Raw total energy: -3.8573 eV/atom
- Spin magnetization: 0.00 μB/cell
- Formation energy without anion corrections: 55.1 kJ per mole of atoms

a = 6.366 Å, b = 6.366 Å, c = 4.605 Å
α = 90.00°, β = 90.00°, γ = 90.00°
Space group P4/mmm (No. 123)
Asymmetric unit:
Sr  0.000  0.500  0.000 (multiplicity 2)
La  0.000  0.000  0.000 (multiplicity 1)
Tc  0.000  0.000  0.500 (multiplicity 1)
Se  0.500  0.500  0.500 (multiplicity 1)